This record from the Alexandria database describes a geometry-optimized AlFeMo2H structure. The functional is PBE-GGA.

Values from the calculation:
- DOS at the Fermi energy (states/eV/f.u.) = 4.20
- total moment (μB/f.u.) = 2.004
- total energy (eV/f.u.) = -37.1
- V (Å³ per cell) = 60.66
- calculated density (g/cm3) = 7.5

abc: 3.867 3.867 4.056
angles: 90.00 90.00 90.00
Space group P4/mmm (No. 123)
Asymmetric unit:
Al (0.000, 0.000, 0.000) x1
Fe (0.500, 0.500, 0.000) x1
Mo (0.000, 0.500, 0.500) x2
H (0.500, 0.500, 0.500) x1


This record from the Alexandria database describes a geometry-optimized Tm4CuOs structure. The functional is PBE-GGA.

Values from the calculation:
- E above lowest polymorph (meV/atom) = 0.0
- DOS at the Fermi energy (states/eV/f.u.) = 4.60
- total moment (μB/f.u.) = 0.000
- total energy (eV/f.u.) = -34.4
- V (Å³ per cell) = 143.14
- calculated formation energy (kJ per mole of atoms) = -19.65
- calculated density (g/cm3) = 10.8

abc: 3.401 3.401 12.375
angles: 90.00 90.00 90.00
Space group P4/mmm (No. 123)
Asymmetric unit:
Tm (0.000, 0.000, 0.131) x2
Tm (0.500, 0.500, 0.364) x2
Cu (0.000, 0.000, 0.500) x1
Os (0.500, 0.500, 0.000) x1


This record from the Alexandria database describes a geometry-optimized Tm3AlFe8 structure. The functional is PBE-GGA.

Values from the calculation:
- DOS at the Fermi energy (states/eV/f.u.) = 11.98
- total moment (μB/f.u.) = 13.221
- total energy (eV/f.u.) = -86.7
- V (Å³ per cell) = 528.47
- calculated formation energy (kJ per mole of atoms) = -15.14
- calculated density (g/cm3) = 9.2

abc: 4.9970 4.9970 24.4378
angles: 90.00 90.00 120.00
Space group R3m (No. 160, hexagonal axes)
Asymmetric unit:
Tm (0.0000, 0.0000, 0.0000) x3
Tm (0.0000, 0.0000, 0.1271) x3
Tm (0.0000, 0.0000, 0.6211) x3
Al (0.0000, 0.0000, 0.4982) x3
Fe (0.0000, 0.0000, 0.3125) x3
Fe (0.0000, 0.0000, 0.8123) x3
Fe (0.0035, 0.5017, 0.0645) x9
Fe (0.1669, 0.3339, 0.8932) x9


This record from the Alexandria database describes a geometry-optimized Zr2AsC structure. The functional is PBE-GGA.

Values from the calculation:
- DOS at the Fermi energy (states/eV/f.u.) = 2.10
- total moment (μB/f.u.) = 0.000
- total energy (eV/f.u.) = -32.6
- V (Å³ per cell) = 339.86
- calculated formation energy (kJ per mole of atoms) = -38.90
- calculated density (g/cm3) = 5.3

abc: 5.756 5.756 10.259
angles: 90.00 90.00 90.00
Space group I-42d (No. 122)
Asymmetric unit:
Zr (0.180, 0.250, 0.125) x8
As (0.000, 0.000, 0.500) x4
C (0.000, 0.000, 0.000) x4


This record from the Alexandria database describes a geometry-optimized PuGa9Ni3 structure. The functional is PBE-GGA.

Values from the calculation:
- DOS at the Fermi energy (states/eV/f.u.) = 11.83
- total moment (μB/f.u.) = 5.545
- total energy (eV/f.u.) = -62.7
- V (Å³ per cell) = 405.06
- calculated formation energy (kJ per mole of atoms) = -27.86
- calculated density (g/cm3) = 8.6

abc: 5.180 12.608 6.627
angles: 90.00 110.61 90.00
Space group C2/m (No. 12)
Asymmetric unit:
Pu (0.000, 0.000, 0.000) x2
Ga (0.000, 0.000, 0.500) x2
Ga (0.092, 0.390, 0.211) x8
Ga (0.169, 0.179, 0.335) x8
Ni (0.000, 0.500, 0.500) x2
Ni (0.250, 0.250, 0.000) x4


This record from the Alexandria database describes a geometry-optimized Mg2CoSe structure. The functional is PBE-GGA.

Values from the calculation:
- E above lowest polymorph (meV/atom) = 93.3
- DOS at the Fermi energy (states/eV/f.u.) = 2.64
- formation energy without anion corrections (eV/f.u.) = -0.82
- total moment (μB/f.u.) = 0.831
- total energy (eV/f.u.) = -14.6
- V (Å³ per cell) = 66.97
- calculated density (g/cm3) = 4.6

abc: 3.406 3.406 5.774
angles: 90.00 90.00 90.00
Space group P4/mmm (No. 123)
Asymmetric unit:
Mg (0.000, 0.000, 0.235) x2
Co (0.500, 0.500, 0.000) x1
Se (0.500, 0.500, 0.500) x1


This record from the Alexandria database describes a geometry-optimized ScCd4Hg2 structure. The functional is PBE-GGA.

Values from the calculation:
- E above lowest polymorph (meV/atom) = 407.4
- DOS at the Fermi energy (states/eV/f.u.) = 6.39
- total moment (μB/f.u.) = 0.003
- total energy (eV/f.u.) = -8.2
- V (Å³ per cell) = 465.80
- calculated formation energy (kJ per mole of atoms) = 32.85
- calculated density (g/cm3) = 6.4

abc: 5.664 5.664 14.518
angles: 90.00 90.00 90.00
Space group I4/mmm (No. 139)
Asymmetric unit:
Sc (0.000, 0.000, 0.000) x2
Cd (0.000, 0.000, 0.203) x4
Cd (0.000, 0.500, 0.000) x4
Hg (0.000, 0.000, 0.396) x4


This record from the Alexandria database describes a geometry-optimized PmSnBi structure. The functional is PBE-GGA.

Values from the calculation:
- E above lowest polymorph (meV/atom) = 467.7
- DOS at the Fermi energy (states/eV/f.u.) = 3.01
- total moment (μB/f.u.) = 0.000
- total energy (eV/f.u.) = -13.2
- V (Å³ per cell) = 423.32
- calculated formation energy (kJ per mole of atoms) = -19.14
- calculated density (g/cm3) = 7.4

abc: 7.509 7.509 7.509
angles: 90.00 90.00 90.00
Space group F-43m (No. 216)
Asymmetric unit:
Pm (0.000, 0.000, 0.000) x4
Sn (0.250, 0.250, 0.250) x4
Bi (0.250, 0.250, 0.750) x4


This record from the Alexandria database describes a geometry-optimized Pr3Ho structure. The functional is PBE-GGA.

Values from the calculation:
- E above lowest polymorph (meV/atom) = 14.5
- DOS at the Fermi energy (states/eV/f.u.) = 6.86
- total moment (μB/f.u.) = 0.000
- total energy (eV/f.u.) = -18.8
- V (Å³ per cell) = 282.38
- calculated formation energy (kJ per mole of atoms) = 2.77
- calculated density (g/cm3) = 6.9

abc: 7.4250 7.4250 5.9144
angles: 90.00 90.00 120.00
Space group P6_3/mmc (No. 194)
Asymmetric unit:
Pr (0.1679, 0.3358, 0.2500) x6
Ho (0.3333, 0.6667, 0.7500) x2


This record from the Alexandria database describes a geometry-optimized PmNd2SmTm2 structure. The functional is PBE-GGA.

Values from the calculation:
- DOS at the Fermi energy (states/eV/f.u.) = 9.50
- total moment (μB/f.u.) = 0.000
- total energy (eV/f.u.) = -27.5
- V (Å³ per cell) = 396.25
- calculated formation energy (kJ per mole of atoms) = 6.59
- calculated density (g/cm3) = 7.7

abc: 7.043 9.870 5.700
angles: 90.00 90.00 90.00
Space group Pnnm (No. 58)
Asymmetric unit:
Pm (0.000, 0.000, 0.000) x2
Nd (0.250, 0.167, 0.500) x4
Sm (0.000, 0.500, 0.500) x2
Tm (0.250, 0.334, 0.000) x4


This record from the Alexandria database describes a geometry-optimized InBOsO2 structure. The functional is PBE-GGA.

Values from the calculation:
- DOS at the Fermi energy (states/eV/f.u.) = 2.49
- formation energy without anion corrections (eV/f.u.) = -0.45
- total moment (μB/f.u.) = 0.000
- total energy (eV/f.u.) = -31.0
- V (Å³ per cell) = 67.77
- calculated density (g/cm3) = 8.5

abc: 3.805 3.805 4.680
angles: 90.00 90.00 90.00
Space group P4/mmm (No. 123)
Asymmetric unit:
In (0.000, 0.000, 0.000) x1
B (0.500, 0.500, 0.000) x1
Os (0.500, 0.500, 0.500) x1
O (0.000, 0.500, 0.500) x2


This record from the Alexandria database describes a geometry-optimized ZnBi12O20 structure. The functional is PBE-GGA.

Values from the calculation:
- DOS at the Fermi energy (states/eV/f.u.) = 25.35
- formation energy without anion corrections (eV/f.u.) = -37.74
- total moment (μB/f.u.) = 0.000
- total energy (eV/f.u.) = -184.8
- V (Å³ per cell) = 1061.38
- calculated density (g/cm3) = 9.1

abc: 10.201 10.201 10.201
angles: 90.00 90.00 90.00
Space group I23 (No. 197)
Asymmetric unit:
Zn (0.000, 0.000, 0.000) x2
Bi (0.006, 0.174, 0.685) x24
O (0.012, 0.369, 0.251) x24
O (0.115, 0.115, 0.115) x8
O (0.187, 0.187, 0.813) x8


This record from the Alexandria database describes a geometry-optimized TaP2Pt structure. The functional is PBE-GGA.

Values from the calculation:
- E above lowest polymorph (meV/atom) = 0.0
- DOS at the Fermi energy (states/eV/f.u.) = 1.62
- total moment (μB/f.u.) = 0.000
- total energy (eV/f.u.) = -30.8
- V (Å³ per cell) = 133.68
- calculated formation energy (kJ per mole of atoms) = -51.45
- calculated density (g/cm3) = 10.9

abc: 3.411 3.372 11.622
angles: 90.00 90.00 90.00
Space group Amm2 (No. 38)
Asymmetric unit:
Ta (0.000, 0.000, 0.000) x2
P (0.000, 0.000, 0.335) x2
P (0.500, 0.000, 0.586) x2
Pt (0.500, 0.000, 0.798) x2


This record from the Alexandria database describes a geometry-optimized SrPr2Ir structure. The functional is PBE-GGA.

Values from the calculation:
- E above lowest polymorph (meV/atom) = 117.5
- DOS at the Fermi energy (states/eV/f.u.) = 4.10
- total moment (μB/f.u.) = 0.000
- total energy (eV/f.u.) = -21.0
- V (Å³ per cell) = 509.88
- calculated formation energy (kJ per mole of atoms) = -22.55
- calculated density (g/cm3) = 5.5

abc: 4.1905 4.1905 33.5271
angles: 90.00 90.00 120.00
Space group R-3m (No. 166, hexagonal axes)
Asymmetric unit:
Sr (0.0000, 0.0000, 0.0000) x3
Pr (0.0000, 0.0000, 0.1215) x6
Ir (0.0000, 0.0000, 0.5000) x3


This record from the Alexandria database describes a geometry-optimized Sr2ReSi structure. The functional is PBE-GGA.

Values from the calculation:
- DOS at the Fermi energy (states/eV/f.u.) = 3.61
- formation energy without anion corrections (eV/f.u.) = 3.27
- total moment (μB/f.u.) = 1.854
- total energy (eV/f.u.) = -18.0
- V (Å³ per cell) = 193.25
- calculated density (g/cm3) = 6.7

abc: 4.564 4.564 9.277
angles: 90.00 90.00 90.00
Space group I4/mmm (No. 139)
Asymmetric unit:
Sr (0.000, 0.500, 0.250) x4
Re (0.000, 0.000, 0.000) x2
Si (0.000, 0.000, 0.500) x2


This record from the Alexandria database describes a geometry-optimized RbCu2I6 structure. The functional is PBE-GGA.

Values from the calculation:
- DOS at the Fermi energy (states/eV/f.u.) = 3.76
- formation energy without anion corrections (eV/f.u.) = -3.18
- total moment (μB/f.u.) = 0.000
- total energy (eV/f.u.) = -21.6
- V (Å³ per cell) = 802.53
- calculated density (g/cm3) = 4.0

abc: 12.386 7.392 10.674
angles: 90.00 124.79 90.00
Space group C2/m (No. 12)
Asymmetric unit:
Rb (0.000, 0.000, 0.000) x2
Cu (0.122, 0.500, 0.442) x4
I (0.092, 0.500, 0.178) x4
I (0.132, 0.000, 0.430) x4
I (0.132, 0.500, 0.697) x4


This record from the Alexandria database describes a geometry-optimized TcRu2Pt structure. The functional is PBE-GGA.

Values from the calculation:
- E above lowest polymorph (meV/atom) = 80.0
- DOS at the Fermi energy (states/eV/f.u.) = 4.47
- total moment (μB/f.u.) = 0.000
- total energy (eV/f.u.) = -34.9
- V (Å³ per cell) = 115.65
- calculated formation energy (kJ per mole of atoms) = 0.44
- calculated density (g/cm3) = 14.2

abc: 9.113 2.718 4.736
angles: 90.00 99.72 90.00
Space group Cm (No. 8)
Asymmetric unit:
Tc (0.000, 0.000, 0.000) x2
Ru (0.007, 0.500, 0.522) x2
Ru (0.251, 0.000, 0.755) x2
Pt (0.252, 0.500, 0.257) x2


This record from the Alexandria database describes a geometry-optimized ZrAl4Si structure. The functional is PBE-GGA.

Values from the calculation:
- E above lowest polymorph (meV/atom) = 20.4
- DOS at the Fermi energy (states/eV/f.u.) = 3.48
- formation energy without anion corrections (eV/f.u.) = -0.56
- total moment (μB/f.u.) = 0.000
- total energy (eV/f.u.) = -29.5
- V (Å³ per cell) = 208.31
- calculated density (g/cm3) = 3.6

abc: 8.164 3.591 7.107
angles: 90.00 90.00 90.00
Space group Pmma (No. 51)
Asymmetric unit:
Zr (0.250, 0.000, 0.068) x2
Al (0.000, 0.000, 0.500) x2
Al (0.035, 0.500, 0.819) x4
Al (0.250, 0.500, 0.411) x2
Si (0.250, 0.000, 0.698) x2


This record from the Alexandria database describes a geometry-optimized ReAu3 structure. The functional is PBE-GGA.

Values from the calculation:
- DOS at the Fermi energy (states/eV/f.u.) = 3.24
- total moment (μB/f.u.) = 0.062
- total energy (eV/f.u.) = -20.4
- V (Å³ per cell) = 68.43
- calculated formation energy (kJ per mole of atoms) = 46.24
- calculated density (g/cm3) = 18.9

abc: 2.775 4.114 5.994
angles: 90.00 90.00 90.00
Space group Pmmm (No. 47)
Asymmetric unit:
Re (0.000, 0.000, 0.000) x1
Au (0.000, 0.000, 0.500) x1
Au (0.500, 0.500, 0.235) x2


This record from the Alexandria database describes a geometry-optimized YHgGe2Sb structure. The functional is PBE-GGA.

Values from the calculation:
- DOS at the Fermi energy (states/eV/f.u.) = 4.12
- formation energy without anion corrections (eV/f.u.) = 2.65
- total moment (μB/f.u.) = 0.000
- total energy (eV/f.u.) = -17.5
- V (Å³ per cell) = 151.77
- calculated density (g/cm3) = 6.1

abc: 5.309 5.309 5.385
angles: 90.00 90.00 90.00
Space group P4/mmm (No. 123)
Asymmetric unit:
Y (0.000, 0.000, 0.000) x1
Hg (0.500, 0.500, 0.000) x1
Ge (0.000, 0.500, 0.500) x2
Sb (0.500, 0.500, 0.500) x1